Record 1
Density functional theory data (PBE-GGA) for an optimized crystal structure of FeCu5S4.

Summary:
Space-group type = R3m, No. 160
Crystal system = trigonal
Magnetization = 3.8 μB per formula unit
Total energy = -46.9 eV for the cell shown
Formation energy from raw total energies = -0.14 eV/atom

Geometry as POSCAR:
```
FeCu5S4
1.0
1.9205 1.1088 12.5882
-1.9205 1.1088 12.5882
0.0000 -2.2176 12.5882
Fe Cu S
1 5 4
direct
0.0000 0.0000 0.0000
0.1346 0.1346 0.1346
0.2596 0.2596 0.2596
0.3800 0.3800 0.3800
0.5265 0.5265 0.5265
0.7531 0.7531 0.7531
0.1949 0.1949 0.1949
0.4415 0.4415 0.4415
0.6870 0.6870 0.6870
0.9416 0.9416 0.9416
```

***

Record 2
Density functional theory data (PBE-GGA) for an optimized crystal structure of Fe2CuS3.

Summary:
Space-group type = P3m1, No. 156
Crystal system = trigonal
Magnetization = 0.0 μB per formula unit
Total energy = -34.9 eV for the cell shown
Formation energy from raw total energies = -0.25 eV/atom

Geometry as POSCAR:
```
Fe2CuS3
1.0
3.5766 0.0000 0.0000
-1.7883 3.0974 0.0000
0.0000 0.0000 8.5870
Fe Cu S
2 1 3
direct
0.0000 0.0000 0.0000
0.3333 0.6667 0.7083
0.6667 0.3333 0.3541
0.0000 0.0000 0.7554
0.3333 0.6667 0.4558
0.6667 0.3333 0.0908
```

***

Record 3
Density functional theory data (PBE-GGA) for an optimized crystal structure of FeCu2S.

Summary:
Space-group type = I-42d, No. 122
Crystal system = tetragonal
Magnetization = 2.4 μB per formula unit
Total energy = -39.5 eV for the cell shown
Formation energy from raw total energies = 0.26 eV/atom

Geometry as POSCAR:
```
FeCu2S
1.0
-3.4578 3.4578 2.2875
3.4578 -3.4578 2.2875
3.4578 3.4578 -2.2875
Fe Cu S
2 4 2
direct
0.0000 0.0000 0.0000
0.7500 0.2500 0.5000
0.1677 0.6250 0.0427
0.3750 0.4177 0.5427
0.5823 0.1250 0.9573
0.8750 0.8323 0.4573
0.2500 0.7500 0.5000
0.5000 0.5000 0.0000
```